[1]
Here is an optimized crystal structure of Ba3SrY8Cu4O20 from Alexandria via LeMat-Bulk. Energies are from PBE-GGA.

a = 5.6994 Å, b = 7.2473 Å, c = 12.2351 Å
α = 89.90°, β = 90.00°, γ = 90.00°
Positions (direct):
Y  0.5000  0.3888  0.7855
O  0.2439  0.3375  0.9318
Y  0.5000  0.1059  0.5742
Cu  0.5000  0.7185  0.6598
O  0.2460  0.3546  0.2288
O  0.2425  0.1631  0.4331
O  0.2535  0.8533  0.2731
Y  0.0000  0.8946  0.4275
O  0.7575  0.1631  0.4331
Sr  0.0000  0.4241  0.5922
O  0.7481  0.6437  0.7700
O  0.2558  0.6617  0.0686
O  0.7540  0.3546  0.2288
O  0.0000  0.9163  0.8997
O  0.7442  0.6617  0.0686
O  0.2519  0.6437  0.7700
Ba  0.5000  0.5676  0.4056
O  0.5000  0.4191  0.5981
Ba  0.5000  0.9332  0.9043
Y  0.0000  0.6032  0.9255
O  0.2573  0.8400  0.5682
Y  0.0000  0.6121  0.2144
O  0.7561  0.3375  0.9318
O  0.7427  0.8400  0.5682
Cu  0.5000  0.7809  0.1613
O  0.5000  0.0828  0.1000
O  0.7465  0.8533  0.2731
O  0.2428  0.1505  0.7254
Y  0.5000  0.1126  0.2879
O  0.0000  0.5783  0.4073
Cu  0.0000  0.2213  0.8373
Cu  0.0000  0.2816  0.3403
Ba  0.0000  0.0683  0.0953
Y  0.5000  0.3961  0.0740
O  0.7572  0.1505  0.7254
Y  0.0000  0.8861  0.7118

Its space group is Pm (6). The uncorrected formation energy comes out at -2.665 eV per atom.

=====

[2]
Here is an optimized crystal structure of TiCu4Sn from Alexandria via LeMat-Bulk. Energies are from PBE-GGA.

a = 4.9691 Å, b = 4.9691 Å, c = 4.9691 Å
α = 60.00°, β = 60.00°, γ = 60.00°
Positions (direct):
Cu  0.6244  0.6244  0.1269
Cu  0.1269  0.6244  0.6244
Cu  0.6244  0.1269  0.6244
Ti  0.2500  0.2500  0.2500
Sn  0.0000  0.0000  0.0000
Cu  0.6244  0.6244  0.6244

Its space group is F-43m (216). The formation energy comes out at -0.027 eV per atom.

=====

[3]
Here is an optimized crystal structure of CrHI2N from Alexandria via LeMat-Bulk. Energies are from PBE-GGA.

a = 5.0220 Å, b = 3.4410 Å, c = 5.0220 Å
α = 90.00°, β = 90.00°, γ = 90.00°
Positions (direct):
Cr  0.0000  0.0000  0.0000
I  0.0000  0.0000  0.5000
H  0.0000  0.5000  0.0000
I  0.5000  0.0000  0.0000
N  0.5000  0.5000  0.5000

Its space group is P4/mmm (123). Its energy above the lowest structure with this stoichiometry is 0.879 eV per atom.

=====

[4]
Here is an optimized crystal structure of AcPuBiAu from Alexandria via LeMat-Bulk. Energies are from PBE-GGA.

a = 5.5584 Å, b = 5.5584 Å, c = 5.5584 Å
α = 60.00°, β = 60.00°, γ = 60.00°
Positions (direct):
Pu  0.7500  0.7500  0.7500
Bi  0.5000  0.5000  0.5000
Ac  0.2500  0.2500  0.2500
Au  0.0000  0.0000  0.0000

Its space group is F-43m (216). The formation energy comes out at -0.516 eV per atom.

=====

[5]
Here is an optimized crystal structure of LiTeSCl2 from Alexandria via LeMat-Bulk. Energies are from PBE-GGA.

a = 4.4734 Å, b = 4.4734 Å, c = 5.0133 Å
α = 90.00°, β = 90.00°, γ = 90.00°
Positions (direct):
Te  0.5000  0.5000  0.5000
Li  0.0000  0.0000  0.0000
Cl  0.0000  0.5000  0.0000
Cl  0.5000  0.0000  0.0000
S  0.0000  0.0000  0.5000

Its space group is P4/mmm (123). Its energy above the lowest structure with this stoichiometry is 0.170 eV per atom. The uncorrected formation energy comes out at -0.198 eV per atom.

=====

[6]
Here is an optimized crystal structure of Sc2NClF from Alexandria via LeMat-Bulk. Energies are from PBE-GGA.

a = 4.6758 Å, b = 4.1833 Å, c = 4.6758 Å
α = 90.00°, β = 90.00°, γ = 90.00°
Positions (direct):
Sc  0.0000  0.0000  0.5000
Sc  0.5000  0.0000  0.0000
Cl  0.0000  0.0000  0.0000
F  0.0000  0.5000  0.0000
N  0.5000  0.5000  0.5000

Its space group is P4/mmm (123). The uncorrected formation energy comes out at -0.024 eV per atom.

=====

[7]
Here is an optimized crystal structure of Li3SnRh from Alexandria via LeMat-Bulk. Energies are from PBE-GGA.

a = 5.5717 Å, b = 5.1207 Å, c = 5.4632 Å
α = 90.00°, β = 82.04°, γ = 90.00°
Positions (direct):
Li  0.1572  0.7500  0.5449
Sn  0.3453  0.2500  0.6845
Li  0.8431  0.0066  0.8686
Rh  0.4759  0.7500  0.8270
Rh  0.5241  0.2500  0.1730
Li  0.8428  0.2500  0.4551
Li  0.8431  0.4934  0.8686
Sn  0.6547  0.7500  0.3155
Li  0.1569  0.9934  0.1314
Li  0.1569  0.5066  0.1314

Its space group is P2_1/m (11). Its energy above the lowest structure with this stoichiometry is 0.000 eV per atom. The formation energy comes out at -0.241 eV per atom.

=====

no.,E_tot (eV/atom),calculated volume (Å³/cell)
1,-7.518,505.4
2,-4.741,86.8
3,-3.439,86.8
4,-6.915,121.4
5,-2.774,100.3
6,-4.966,91.5
7,-3.660,154.4